Entry from the Alexandria database: an optimized crystal structure of CePaTcPb (PBE).

a = 3.3086 Å, b = 3.3086 Å, c = 8.8305 Å
α = 90.00°, β = 90.00°, γ = 90.00°
Sites, in units of the cell vectors:
Ce 0.0000 0.0000 0.0000
Pa 0.0000 0.0000 0.5896
Tc 0.5000 0.5000 0.7806
Pb 0.5000 0.5000 0.2942


Entry from the Alexandria database: an optimized crystal structure of CeThPaPb (PBE).

a = 5.4719 Å, b = 5.4719 Å, c = 5.4719 Å
α = 60.00°, β = 60.00°, γ = 60.00°
Sites, in units of the cell vectors:
Ce 0.0000 0.0000 0.0000
Th 0.5000 0.5000 0.5000
Pa 0.7500 0.7500 0.7500
Pb 0.2500 0.2500 0.2500


Calculated formation energy for the records above, in order: -222 133 meV/atom